# Sm3HoZn8

A geometry-optimized Sm3HoZn8 structure (PBE, Alexandria).

Summary:
SG ... R3m (160)
Total magnetization ... 0.00 μB per cell
DFT formation energy ... -327 meV per atom

Unit cell a=5.520 b=5.520 c=9.520 alpha=73.15 beta=73.15 gamma=60.00
Sites, in units of the cell vectors:
Zn1 0.437 0.437 0.190
Zn2 0.938 0.938 0.685
Zn3 0.936 0.437 0.190
Zn4 0.688 0.688 0.937
Zn5 0.440 0.938 0.685
Zn6 0.938 0.440 0.685
Zn7 0.437 0.936 0.190
Zn8 0.187 0.187 0.438
Sm1 0.500 0.500 0.501
Sm2 0.375 0.375 0.875
Sm3 0.000 0.000 0.000
Ho1 0.875 0.875 0.374



# CaNb3B

A geometry-optimized CaNb3B structure (PBE, Alexandria).

Summary:
SG ... Pm-3m (221)
Total magnetization ... 0.00 μB per cell
DFT formation energy ... 2982 meV per atom

Unit cell a=4.632 b=4.632 c=4.632 alpha=90.00 beta=90.00 gamma=90.00
Sites, in units of the cell vectors:
Ca1 0.000 0.000 0.000
Nb1 0.500 0.000 0.000
Nb2 0.000 0.000 0.500
Nb3 0.000 0.500 0.000
B1 0.500 0.500 0.500



Calculated ΔE to the lowest computed polymorph (eV/atom), listed in the same order as above: 0.000; 2.650